# PBE AlCr2NiC, optimized geometry
# ΔH_f (0 K): -0.08 eV per atom
# Crystal system: tetragonal
data_AlCr2NiC
_chemical_formula_sum 'Al1 Cr2 Ni1 C1'
_symmetry_space_group_name_H-M 'P 4/m m m'
_symmetry_Int_Tables_number 123
_symmetry_space_group_name_Hall '-P 4 2'
_cell_length_a 3.8288
_cell_length_b 3.8288
_cell_length_c 3.8293
_cell_angle_alpha 90.00
_cell_angle_beta 90.00
_cell_angle_gamma 90.00
loop_
_atom_site_label
_atom_site_fract_x
_atom_site_fract_y
_atom_site_fract_z
Al1 0.0000 0.0000 0.0000
Cr1 0.0000 0.5000 0.5000
Ni1 0.5000 0.5000 0.0000
C1 0.5000 0.5000 0.5000